Record 1
First-principles (GGA-PBE) data for a relaxed structure of HfTa2MoS, as listed in Alexandria.

Properties
Formation energy without anion corrections (eV per atom): 1.897
D(E_F) (states/eV/cell): 5.2
Total moment (μB per atom): 0.000

```
HfTa2MoS
1.0
-1.855 4.624 -0.381
-4.014 -1.715 -1.273
-1.438 -0.183 4.782
Mo Ta S Hf
1 2 1 1
direct
0.500 0.500 0.500
0.000 0.000 0.500
0.500 0.000 0.000
0.000 0.500 0.000
0.000 0.000 0.000
```

---

Record 2
First-principles (GGA-PBE) data for a relaxed structure of HfTeMo2S, as listed in Alexandria.

Properties
Formation energy without anion corrections (eV per atom): 0.703
D(E_F) (states/eV/cell): 5.6
Total moment (μB per atom): 0.000

```
HfTeMo2S
1.0
4.408 0.000 0.000
0.000 5.342 0.000
0.000 0.000 4.408
Hf Mo S Te
1 2 1 1
direct
0.500 0.500 0.500
0.000 0.000 0.500
0.500 0.000 0.000
0.000 0.000 0.000
0.000 0.500 0.000
```

---

Record 3
First-principles (GGA-PBE) data for a relaxed structure of Hf6Sb2Mo, as listed in Alexandria.

Properties
Formation energy without anion corrections (eV per atom): -0.330
D(E_F) (states/eV/cell): 6.2
Total moment (μB per atom): 0.000

```
Hf6Sb2Mo
1.0
-3.210 1.067 1.393
-1.609 -7.390 1.954
3.742 4.652 5.060
Sb Hf Mo
2 6 1
direct
0.000 0.334 0.667
0.000 0.667 0.333
0.000 0.250 0.000
0.500 0.396 0.396
0.500 0.604 0.000
0.500 0.000 0.604
0.000 0.750 0.749
0.000 0.001 0.251
0.500 0.999 0.000
```

---

In order of appearance, total energy = -7.826 -7.074 -9.085 eV per atom.